CaFeW3: relaxed, PBE-GGA.

The space group is Pm-3m (No. 221) and the conventional cell measures 4.595, 4.595 and 4.595 Å, with angles of 90.00, 90.00 and 90.00 degrees. The distinct sites, in fractional coordinates, are Ca at (0.000, 0.000, 0.000), Fe at (0.500, 0.500, 0.500) and W at (0.000, 0.500, 0.500).

The calculation puts the polymorph energy (0 for the lowest one) at 0.0000 eV per atom. As for the formation energy: 1.26 eV per atom.

CaFeW: relaxed, PBE-GGA.

The space group is P3m1 (No. 156) and the conventional cell measures 3.2847, 3.2847 and 6.5705 Å, with angles of 90.00, 90.00 and 120.00 degrees. The distinct sites, in fractional coordinates, are Ca at (0.0000, 0.0000, 0.0000), Fe at (0.6667, 0.3333, 0.3666) and W at (0.3333, 0.6667, 0.5652).

The calculation puts the polymorph energy (0 for the lowest one) at 0.2786 eV per atom. As for the formation energy: 0.79 eV per atom.

CaFeW2: relaxed, PBE-GGA.

The space group is F-43m (No. 216) and the conventional cell measures 6.472, 6.472 and 6.472 Å, with angles of 90.00, 90.00 and 90.00 degrees. The distinct sites, in fractional coordinates, are Ca at (0.000, 0.000, 0.000), Fe at (0.250, 0.250, 0.750), W at (0.000, 0.000, 0.500) and W at (0.250, 0.250, 0.250).

The calculation puts the polymorph energy (0 for the lowest one) at 0.2079 eV per atom. As for the formation energy: 0.78 eV per atom.

CaFeW2: relaxed, PBE-GGA.

The space group is P4/mmm (No. 123) and the conventional cell measures 3.820, 3.820 and 4.825 Å, with angles of 90.00, 90.00 and 90.00 degrees. The distinct sites, in fractional coordinates, are Ca at (0.000, 0.000, 0.000), Fe at (0.500, 0.500, 0.000) and W at (0.000, 0.500, 0.500).

The calculation puts the polymorph energy (0 for the lowest one) at 0.3671 eV per atom. As for the formation energy: 0.94 eV per atom.

CaFe2W: relaxed, PBE-GGA.

The space group is Imm2 (No. 44) and the conventional cell measures 2.747, 4.715 and 9.800 Å, with angles of 90.00, 90.00 and 90.00 degrees. The distinct sites, in fractional coordinates, are Ca at (0.000, 0.000, 0.000), Fe at (0.000, 0.000, 0.521), Fe at (0.000, 0.500, 0.222) and W at (0.000, 0.500, 0.792).

The calculation puts the polymorph energy (0 for the lowest one) at 0.2676 eV per atom. As for the formation energy: 0.61 eV per atom.

CaFeW2: relaxed, PBE-GGA.

The space group is Pmmm (No. 47) and the conventional cell measures 2.648, 4.854 and 5.407 Å, with angles of 90.00, 90.00 and 90.00 degrees. The distinct sites, in fractional coordinates, are Ca at (0.000, 0.000, 0.000), Fe at (0.000, 0.000, 0.500) and W at (0.500, 0.500, 0.257).

The calculation puts the polymorph energy (0 for the lowest one) at 0.3367 eV per atom. As for the formation energy: 0.91 eV per atom.

CaFeW2: relaxed, PBE-GGA.

The space group is C2/m (No. 12) and the conventional cell measures 5.418, 9.853 and 2.696 Å, with angles of 90.00, 109.07 and 90.00 degrees. The distinct sites, in fractional coordinates, are Ca at (0.000, 0.000, 0.000), Fe at (0.000, 0.500, 0.000) and W at (0.250, 0.250, 0.500).

The calculation puts the polymorph energy (0 for the lowest one) at 0.2255 eV per atom. As for the formation energy: 0.80 eV per atom.

CaFeW2: relaxed, PBE-GGA.

The space group is Fm-3m (No. 225) and the conventional cell measures 6.319, 6.319 and 6.319 Å, with angles of 90.00, 90.00 and 90.00 degrees. The distinct sites, in fractional coordinates, are Ca at (0.000, 0.000, 0.000), Fe at (0.000, 0.000, 0.500) and W at (0.250, 0.250, 0.250).

The calculation puts the polymorph energy (0 for the lowest one) at 0.5557 eV per atom. As for the formation energy: 1.13 eV per atom.

CaFe2W: relaxed, PBE-GGA.

The space group is I-4m2 (No. 119) and the conventional cell measures 3.725, 3.725 and 9.053 Å, with angles of 90.00, 90.00 and 90.00 degrees. The distinct sites, in fractional coordinates, are Ca at (0.000, 0.000, 0.000), Fe at (0.000, 0.000, 0.500), Fe at (0.000, 0.500, 0.750) and W at (0.000, 0.500, 0.250).

The calculation puts the polymorph energy (0 for the lowest one) at 0.5640 eV per atom. As for the formation energy: 0.91 eV per atom.

CaFe2W: relaxed, PBE-GGA.

The space group is Fm-3m (No. 225) and the conventional cell measures 6.186, 6.186 and 6.186 Å, with angles of 90.00, 90.00 and 90.00 degrees. The distinct sites, in fractional coordinates, are Ca at (0.000, 0.000, 0.000), Fe at (0.250, 0.250, 0.250) and W at (0.000, 0.000, 0.500).

The calculation puts the polymorph energy (0 for the lowest one) at 0.2770 eV per atom. As for the formation energy: 0.62 eV per atom.

CaFeW3: relaxed, PBE-GGA.

The space group is Pm-3m (No. 221) and the conventional cell measures 4.524, 4.524 and 4.524 Å, with angles of 90.00, 90.00 and 90.00 degrees. The distinct sites, in fractional coordinates, are Ca at (0.000, 0.000, 0.000), Fe at (0.500, 0.500, 0.500) and W at (0.000, 0.000, 0.500).

The calculation puts the polymorph energy (0 for the lowest one) at 2.2777 eV per atom. As for the formation energy: 3.54 eV per atom.

CaFeW2: relaxed, PBE-GGA.

The space group is I4/mmm (No. 139) and the conventional cell measures 3.834, 3.834 and 9.455 Å, with angles of 90.00, 90.00 and 90.00 degrees. The distinct sites, in fractional coordinates, are Ca at (0.000, 0.000, 0.000), Fe at (0.000, 0.000, 0.500) and W at (0.000, 0.500, 0.250).

The calculation puts the polymorph energy (0 for the lowest one) at 0.3510 eV per atom. As for the formation energy: 0.93 eV per atom.

CaFeW2: relaxed, PBE-GGA.

The space group is I-42d (No. 122) and the conventional cell measures 4.904, 4.904 and 16.276 Å, with angles of 90.00, 90.00 and 90.00 degrees. The distinct sites, in fractional coordinates, are Ca at (0.000, 0.000, 0.000), Fe at (0.000, 0.000, 0.500) and W at (0.006, 0.250, 0.625).

The calculation puts the polymorph energy (0 for the lowest one) at 0.8161 eV per atom. As for the formation energy: 1.39 eV per atom.

CaFeW2: relaxed, PBE-GGA.

The space group is P4/mmm (No. 123) and the conventional cell measures 4.826, 4.826 and 2.856 Å, with angles of 90.00, 90.00 and 90.00 degrees. The distinct sites, in fractional coordinates, are Ca at (0.000, 0.000, 0.000), Fe at (0.500, 0.500, 0.000) and W at (0.000, 0.500, 0.500).

The calculation puts the polymorph energy (0 for the lowest one) at 0.6556 eV per atom. As for the formation energy: 1.23 eV per atom.

CaFeW2: relaxed, PBE-GGA.

The space group is R-3m (No. 166, hexagonal axes) and the conventional cell measures 2.8844, 2.8844 and 28.5389 Å, with angles of 90.00, 90.00 and 120.00 degrees. The distinct sites, in fractional coordinates, are Ca at (0.0000, 0.0000, 0.0000), Fe at (0.0000, 0.0000, 0.5000) and W at (0.0000, 0.0000, 0.2373).

The calculation puts the polymorph energy (0 for the lowest one) at 0.2131 eV per atom. As for the formation energy: 0.79 eV per atom.

CaFeW2: relaxed, PBE-GGA.

The space group is Cmmm (No. 65) and the conventional cell measures 3.710, 4.164 and 8.828 Å, with angles of 90.00, 90.00 and 90.00 degrees. The distinct sites, in fractional coordinates, are Ca at (0.000, 0.000, 0.000), Fe at (0.000, 0.000, 0.500) and W at (0.000, 0.500, 0.305).

The calculation puts the polymorph energy (0 for the lowest one) at 0.0875 eV per atom. As for the formation energy: 0.66 eV per atom.

CaFeW2: relaxed, PBE-GGA.

The space group is C2/m (No. 12) and the conventional cell measures 11.564, 2.727 and 4.865 Å, with angles of 90.00, 114.80 and 90.00 degrees. The distinct sites, in fractional coordinates, are Ca at (0.000, 0.000, 0.000), Fe at (0.000, 0.500, 0.500) and W at (0.206, 0.000, 0.706).

The calculation puts the polymorph energy (0 for the lowest one) at 0.0294 eV per atom. As for the formation energy: 0.60 eV per atom.

CaFe2W: relaxed, PBE-GGA.

The space group is F-43m (No. 216) and the conventional cell measures 6.274, 6.274 and 6.274 Å, with angles of 90.00, 90.00 and 90.00 degrees. The distinct sites, in fractional coordinates, are Ca at (0.000, 0.000, 0.000), Fe at (0.000, 0.000, 0.500), Fe at (0.250, 0.250, 0.250) and W at (0.250, 0.250, 0.750).

The calculation puts the polymorph energy (0 for the lowest one) at 0.5234 eV per atom. As for the formation energy: 0.87 eV per atom.

CaFe2W: relaxed, PBE-GGA.

The space group is Cm (No. 8) and the conventional cell measures 10.276, 2.696 and 4.835 Å, with angles of 90.00, 109.20 and 90.00 degrees. The distinct sites, in fractional coordinates, are Ca at (0.000, 0.000, 0.000), Fe at (0.035, 0.500, 0.517), Fe at (0.225, 0.000, 0.784) and W at (0.296, 0.500, 0.355).

The calculation puts the polymorph energy (0 for the lowest one) at 0.2588 eV per atom. As for the formation energy: 0.61 eV per atom.

CaFeW2: relaxed, PBE-GGA.

The space group is Pmmm (No. 47) and the conventional cell measures 3.059, 4.519 and 4.978 Å, with angles of 90.00, 90.00 and 90.00 degrees. The distinct sites, in fractional coordinates, are Ca at (0.000, 0.000, 0.000), Fe at (0.500, 0.500, 0.000), W at (0.000, 0.500, 0.500) and W at (0.500, 0.000, 0.500).

The calculation puts the polymorph energy (0 for the lowest one) at 0.2616 eV per atom. As for the formation energy: 0.84 eV per atom.